{
  "formula": "K2CaOs",
  "functional": "meta-GGA SCAN",
  "state": "single point on PBEsol structure",
  "e_form_ev_per_atom": 1.141,
  "spacegroup": "P2/m (10)",
  "crystal_system": "monoclinic",
  "cell": [[2.9909, 0.0000, 0.0000], [0.0000, 6.1379, 0.0000], [-0.1991, 0.0000, 5.7306]],
  "species": ["K", "K", "Ca", "Os"],
  "frac_coords": [[0.2346, 0.0000, 0.2236], [0.7654, 0.0000, 0.7764], [0.0000, 0.5000, 0.5000], [0.5000, 0.5000, 0.0000]]
}